*i*
LaOsBr2: single point on PBEsol structure, SCAN.

Properties
M_tot ... 3.00 μB/f.u.

a b c (Å): 7.106 7.106 7.106
angles (deg): 90.00 90.00 90.00
Space group Fm-3m (No. 225)
Unique sites:
La 0.000 0.000 0.000 x4
Os 0.000 0.000 0.500 x4
Br 0.250 0.250 0.250 x8

*ii*
LaOsBr2: single point on PBEsol structure, SCAN.

Properties
M_tot ... 0.98 μB/f.u.

a b c (Å): 6.074 7.167 4.276
angles (deg): 90.00 90.00 90.00
Space group Cmmm (No. 65)
Unique sites:
La 0.000 0.000 0.000 x2
Os 0.000 0.500 0.000 x2
Br 0.000 0.292 0.500 x4

Preferred: *ii*; penalty for the next structure: 17.9 kJ/mol of atoms.